First-principles (PBE+U) data for a geometry-optimized RbTmVO4 structure, as listed in the Alexandria database.

Geometry as CIF:
```
data_RbTmVO4
_chemical_formula_sum 'Rb2 Tm2 V2 O8'
_cell_length_a 5.887
_cell_length_b 5.909
_cell_length_c 7.689
_cell_angle_alpha 90.00
_cell_angle_beta 108.67
_cell_angle_gamma 90.00
_symmetry_space_group_name_H-M 'P 1 21/m 1'
_symmetry_Int_Tables_number 11
_symmetry_space_group_name_Hall '-P 2yb'
loop_
_atom_site_label
_atom_site_fract_x
_atom_site_fract_y
_atom_site_fract_z
Rb1 0.216 0.250 0.444
Tm1 0.324 0.250 0.962
V1 0.213 0.750 0.147
O1 0.007 0.750 0.927
O2 0.030 0.750 0.292
O3 0.453 0.526 0.163
```

The raw total energy is -7.14 eV per atom. The calculation puts the density at 4.84 g/cm³.

***

First-principles (PBE+U) data for a geometry-optimized Rb3TmV2O8 structure, as listed in the Alexandria database.

Geometry as CIF:
```
data_Rb3TmV2O8
_chemical_formula_sum 'Rb3 Tm1 V2 O8'
_cell_length_a 6.0416
_cell_length_b 6.0416
_cell_length_c 7.9888
_cell_angle_alpha 90.00
_cell_angle_beta 90.00
_cell_angle_gamma 120.00
_symmetry_space_group_name_H-M 'P -3 m 1'
_symmetry_Int_Tables_number 164
_symmetry_space_group_name_Hall '-P 3 2"'
loop_
_atom_site_label
_atom_site_fract_x
_atom_site_fract_y
_atom_site_fract_z
Rb1 0.0000 0.0000 0.0000
Rb2 0.3333 0.6667 0.7062
Tm1 0.0000 0.0000 0.5000
V1 0.3333 0.6667 0.2631
O1 0.1739 0.3477 0.3368
O2 0.3333 0.6667 0.0523
```

The raw total energy is -6.76 eV per atom. The calculation puts the density at 4.31 g/cm³.

***

First-principles (PBE+U) data for a geometry-optimized Rb2TmW3O12 structure, as listed in the Alexandria database.

Geometry as CIF:
```
data_Rb2TmW3O12
_chemical_formula_sum 'Rb6 Tm3 W9 O36'
_cell_length_a 7.4978
_cell_length_b 7.4978
_cell_length_c 18.7416
_cell_angle_alpha 90.00
_cell_angle_beta 90.00
_cell_angle_gamma 120.00
_symmetry_space_group_name_H-M 'R -3 m'
_symmetry_Int_Tables_number 166
_symmetry_space_group_name_Hall '-R 3 2"'
loop_
_atom_site_label
_atom_site_fract_x
_atom_site_fract_y
_atom_site_fract_z
Rb1 0.0000 0.0000 0.1343
Tm1 0.0000 0.0000 0.5000
W1 0.0000 0.5000 0.0000
O1 0.0504 0.5252 0.1000
O2 0.0873 0.5437 0.3462
```

The raw total energy is -7.05 eV per atom. The calculation puts the density at 5.91 g/cm³.